Record 1
Computed, not measured: a geometry-optimized AcY3 structure at the PBE level of DFT.

Structure (POSCAR):
```
AcY3
1.0
-3.6427 0.0211 1.0131
-1.7036 -0.6882 -6.1111
2.8110 -5.4895 3.1663
Y Ac
3 1
direct
0.7550 0.0946 0.5100
0.2450 0.5846 0.4900
0.5000 0.4978 0.0000
0.0000 0.9896 0.0000
```

Output
* energy of formation: 16 kJ/mol of formula units

Record 2
Computed, not measured: a geometry-optimized AcTmZn4 structure at the PBE level of DFT.

Structure (POSCAR):
```
AcTmZn4
1.0
-0.9100 2.6206 -4.9012
-5.2121 0.2880 -2.1140
-2.7319 4.9240 -0.0957
Zn Tm Ac
4 1 1
direct
0.6267 0.6267 0.6267
0.6267 0.1199 0.6267
0.1199 0.6267 0.6267
0.6267 0.6267 0.1199
0.0000 0.0000 0.0000
0.2500 0.2500 0.2500
```

Output
* energy above the most stable polymorph in this dataset: 44 meV/atom
* energy of formation: -147 kJ/mol of formula units

Record 3
Computed, not measured: a geometry-optimized CeTaC2 structure at the PBE level of DFT.

Structure (POSCAR):
```
CeTaC2
1.0
-2.5097 0.1954 -2.3861
3.8385 -1.6411 -4.1717
-2.5987 -10.7818 1.8503
Ta Ce C
4 4 8
direct
0.7500 0.9148 0.6070
0.7500 0.4148 0.8930
0.2500 0.5852 0.1070
0.2500 0.0852 0.3930
0.7500 0.5804 0.3598
0.7500 0.0804 0.1402
0.2500 0.4196 0.6402
0.2500 0.9196 0.8598
0.2500 0.3377 0.2528
0.2500 0.7804 0.5162
0.2500 0.2804 0.9838
0.7500 0.7196 0.0162
0.7500 0.1623 0.7528
0.7500 0.6623 0.7472
0.7500 0.2196 0.4838
0.2500 0.8377 0.2472
```

Output
* energy above the most stable polymorph in this dataset: 0 meV/atom
* energy of formation: -165 kJ/mol of formula units

Record 4
Computed, not measured: a geometry-optimized La2YSc structure at the PBE level of DFT.

Structure (POSCAR):
```
La2YSc
1.0
-4.3161 -2.5663 -3.4240
-1.2723 -4.4220 -3.9706
-1.9920 -4.4121 3.8864
Sc La Y
1 2 1
direct
0.7500 0.7500 0.7500
0.0056 0.0056 0.9932
0.4944 0.4944 0.5068
0.2500 0.2500 0.2500
```

Output
* energy above the most stable polymorph in this dataset: 0 meV/atom
* energy of formation: 16 kJ/mol of formula units

Record 5
Computed, not measured: a geometry-optimized TaCrFeSn structure at the PBE level of DFT.

Structure (POSCAR):
```
TaCrFeSn
1.0
-1.9773 -3.8037 0.9181
2.2469 -3.7560 -0.2544
1.0396 -2.1845 3.6563
Ta Sn Fe Cr
1 1 1 1
direct
0.0000 0.0000 0.0000
0.5000 0.5000 0.5000
0.2500 0.2500 0.2500
0.7500 0.7500 0.7500
```

Output
* energy of formation: 23 kJ/mol of formula units

Record 6
Computed, not measured: a geometry-optimized Sm6GeP2S3 structure at the PBE level of DFT.

Structure (POSCAR):
```
Sm6GeP2S3
1.0
4.0991 0.0000 0.0000
0.0000 8.1715 0.2971
-2.0496 -2.3535 8.6043
S Sm Ge P
3 6 1 2
direct
0.1670 0.8320 0.3341
0.5000 0.5000 0.0000
0.8330 0.1680 0.6659
0.9987 0.7491 0.9973
0.3313 0.4212 0.6626
0.6687 0.5788 0.3374
0.0013 0.2509 0.0027
0.3334 0.9122 0.6669
0.6666 0.0878 0.3331
0.5000 0.0000 0.0000
0.1674 0.3345 0.3348
0.8326 0.6655 0.6652
```

Output
* formation energy without anion corrections: -1731 meV per atom

Record 7
Computed, not measured: a geometry-optimized Li2CdHg2 structure at the PBE level of DFT.

Structure (POSCAR):
```
Li2CdHg2
1.0
7.6139 0.0000 0.0000
0.0000 7.6139 0.0000
0.0000 0.0000 3.3775
Cd Li Hg
2 4 4
direct
0.5000 0.5000 0.0000
0.0000 0.0000 0.0000
0.3597 0.8597 0.0000
0.6403 0.1403 0.0000
0.8597 0.6403 0.0000
0.1403 0.3597 0.0000
0.8456 0.3456 0.5000
0.3456 0.1544 0.5000
0.1544 0.6544 0.5000
0.6544 0.8456 0.5000
```

Output
* energy above the most stable polymorph in this dataset: 34 meV/atom
* energy of formation: -116 kJ/mol of formula units

Record 8
Computed, not measured: a geometry-optimized MgIn2S4 structure at the PBE level of DFT.

Structure (POSCAR):
```
MgIn2S4
1.0
-1.0762 3.5663 0.4015
0.2258 -1.3159 12.2935
12.3297 3.7015 0.1698
Mg In S
4 8 16
direct
0.2500 0.8828 0.4436
0.7500 0.6172 0.9436
0.2500 0.3828 0.0564
0.7500 0.1172 0.5564
0.2500 0.1111 0.9161
0.7500 0.8543 0.7023
0.2500 0.1457 0.2977
0.7500 0.8889 0.0839
0.7500 0.3889 0.4161
0.7500 0.3543 0.7977
0.2500 0.6457 0.2023
0.2500 0.6111 0.5839
0.2500 0.2206 0.7433
0.2500 0.0305 0.1171
0.2500 0.9834 0.6167
0.7500 0.5166 0.1167
0.2500 0.7439 0.0185
0.7500 0.4695 0.6171
0.7500 0.2561 0.9815
0.7500 0.9695 0.8829
0.2500 0.2439 0.4815
0.7500 0.7561 0.5185
0.7500 0.7794 0.2567
0.2500 0.7206 0.7567
0.7500 0.2794 0.2433
0.7500 0.0166 0.3833
0.2500 0.4834 0.8833
0.2500 0.5305 0.3829
```

Output
* formation energy without anion corrections: -718 meV per atom

Record 9
Computed, not measured: a geometry-optimized Ce2PmRh structure at the PBE level of DFT.

Structure (POSCAR):
```
Ce2PmRh
1.0
-2.8645 2.0744 1.1420
-1.4256 -2.2893 -5.4577
-3.9660 -7.8621 4.3338
Rh Ce Pm
2 4 2
direct
0.7018 0.4045 0.2500
0.2982 0.5955 0.7500
0.1380 0.2771 0.0556
0.1380 0.2771 0.4444
0.8620 0.7229 0.9444
0.8620 0.7229 0.5556
0.4192 0.8385 0.2500
0.5808 0.1615 0.7500
```

Output
* energy above the most stable polymorph in this dataset: 1 meV/atom
* energy of formation: -146 kJ/mol of formula units

| no. | VASP energy (eV/f.u.) |
| --- | --- |
| 1 | -23.33 |
| 2 | -15.19 |
| 3 | -37.94 |
| 4 | -22.49 |
| 5 | -33.70 |
| 6 | -76.91 |
| 7 | -6.55 |
| 8 | -28.61 |
| 9 | -25.48 |